Density functional theory data (PBE) for crystalline BaCoAgP at its relaxed geometry.

The value obtained for the total magnetization is 0.16 μB per atom. The density of states at the Fermi level comes out at 3.10 states/eV/f.u. The calculation puts the calculated formation energy at -2.26 eV/f.u.

It has space group P4/nmm (No. 129, origin choice 2), with a = 3.8898 Å, b = 3.8898 Å, c = 11.8247 Å, α = 90.00°, β = 90.00° and γ = 90.00°. The distinct sites, in fractional coordinates, are Ba at (0.2500, 0.2500, 0.2436), Co at (0.2500, 0.7500, 0.0000), Ag at (0.2500, 0.7500, 0.5000) and P at (0.2500, 0.2500, 0.9052).


Density functional theory data (PBE) for crystalline RbBa2CoAg at its relaxed geometry.

The value obtained for the total magnetization is 0.06 μB per atom. The density of states at the Fermi level comes out at 4.90 states/eV/f.u. The calculation puts the calculated formation energy at 5.52 eV/f.u.

It has space group P4/mmm (No. 123), with a = 6.5595 Å, b = 6.5595 Å, c = 4.7002 Å, α = 90.00°, β = 90.00° and γ = 90.00°. The distinct sites, in fractional coordinates, are Rb at (0.0000, 0.0000, 0.0000), Ba at (0.0000, 0.5000, 0.0000), Co at (0.0000, 0.0000, 0.5000) and Ag at (0.5000, 0.5000, 0.5000).


Density functional theory data (PBE) for crystalline BaCoSiAg2 at its relaxed geometry.

The value obtained for the total magnetization is 0.23 μB per atom. The uncorrected formation energy comes out at 0.097 eV/atom. The density of states at the Fermi level comes out at 3.69 states/eV/f.u.

It has space group P4/mmm (No. 123), with a = 4.9860 Å, b = 4.9860 Å, c = 4.6247 Å, α = 90.00°, β = 90.00° and γ = 90.00°. The distinct sites, in fractional coordinates, are Ba at (0.0000, 0.0000, 0.0000), Co at (0.5000, 0.5000, 0.0000), Si at (0.5000, 0.5000, 0.5000) and Ag at (0.0000, 0.5000, 0.5000).


Density functional theory data (PBE) for crystalline Ba2VCoAg at its relaxed geometry.

The value obtained for the total magnetization is 0.65 μB per atom. The density of states at the Fermi level comes out at 8.45 states/eV/f.u. The calculation puts the calculated formation energy at 4.82 eV/f.u.

It has space group P4/mmm (No. 123), with a = 6.2733 Å, b = 6.2733 Å, c = 4.8018 Å, α = 90.00°, β = 90.00° and γ = 90.00°. The distinct sites, in fractional coordinates, are Ba at (0.0000, 0.5000, 0.0000), V at (0.0000, 0.0000, 0.5000), Co at (0.5000, 0.5000, 0.5000) and Ag at (0.5000, 0.5000, 0.0000).


Density functional theory data (PBE) for crystalline BaCrAg3 at its relaxed geometry.

The value obtained for the total magnetization is 1.00 μB per atom. The energy above the most stable polymorph in this dataset comes out at 24.26 kcal/mol of atoms. The density of states at the Fermi level comes out at 1.71 states/eV/f.u. The calculation puts the calculated formation energy at 6.78 eV/f.u.

It has space group Pm-3m (No. 221), with a = 6.0378 Å, b = 6.0378 Å, c = 6.0378 Å, α = 90.00°, β = 90.00° and γ = 90.00°. The distinct sites, in fractional coordinates, are Ba at (0.0000, 0.0000, 0.0000), Cr at (0.5000, 0.5000, 0.5000) and Ag at (0.0000, 0.0000, 0.5000).


Density functional theory data (PBE) for crystalline BaCr3Ag at its relaxed geometry.

The value obtained for the total magnetization is 2.17 μB per atom. The energy above the most stable polymorph in this dataset comes out at 29.62 kcal/mol of atoms. The density of states at the Fermi level comes out at 3.13 states/eV/f.u. The calculation puts the calculated formation energy at 11.88 eV/f.u.

It has space group Pm-3m (No. 221), with a = 5.0953 Å, b = 5.0953 Å, c = 5.0953 Å, α = 90.00°, β = 90.00° and γ = 90.00°. The distinct sites, in fractional coordinates, are Ba at (0.0000, 0.0000, 0.0000), Cr at (0.0000, 0.0000, 0.5000) and Ag at (0.5000, 0.5000, 0.5000).


Density functional theory data (PBE) for crystalline BaCrAg3 at its relaxed geometry.

The value obtained for the total magnetization is 0.88 μB per atom. The energy above the most stable polymorph in this dataset comes out at 0.00 kcal/mol of atoms. The density of states at the Fermi level comes out at 1.48 states/eV/f.u. The calculation puts the calculated formation energy at 1.52 eV/f.u.

It has space group Pm-3m (No. 221), with a = 5.2162 Å, b = 5.2162 Å, c = 5.2162 Å, α = 90.00°, β = 90.00° and γ = 90.00°. The distinct sites, in fractional coordinates, are Ba at (0.0000, 0.0000, 0.0000), Cr at (0.5000, 0.5000, 0.5000) and Ag at (0.0000, 0.5000, 0.5000).


Density functional theory data (PBE) for crystalline BaCrAg at its relaxed geometry.

The value obtained for the total magnetization is 1.70 μB per atom. The energy above the most stable polymorph in this dataset comes out at 13.06 kcal/mol of atoms. The density of states at the Fermi level comes out at 1.15 states/eV/f.u. The calculation puts the calculated formation energy at 2.79 eV/f.u.

It has space group F-43m (No. 216), with a = 7.7710 Å, b = 7.7710 Å, c = 7.7710 Å, α = 90.00°, β = 90.00° and γ = 90.00°. The distinct sites, in fractional coordinates, are Ba at (0.0000, 0.0000, 0.0000), Cr at (0.2500, 0.2500, 0.7500) and Ag at (0.2500, 0.2500, 0.2500).